1.
Entry from Alexandria via LeMat-Bulk: a geometry-optimized GaSiGe3 structure (GGA-PBEsol).

The structure belongs to space group Pm-3m (No. 221); the cell edges are 4.742, 4.742 and 4.742 Å and the angles 90.00°, 90.00° and 90.00°. The inequivalent atoms are Ga at (0.000, 0.000, 0.000), Si at (0.500, 0.500, 0.500) and Ge at (0.000, 0.500, 0.500).

The value obtained for the magnetic moment is 0.0 μB per formula unit. The total energy is -0.307 Ry/atom. The density of states at the Fermi level is 3.8 states/eV/f.u.

2.
Entry from Alexandria via LeMat-Bulk: a geometry-optimized BaAg2Rh structure (GGA-PBEsol).

The structure belongs to space group Fm-3m (No. 225); the cell edges are 7.041, 7.041 and 7.041 Å and the angles 90.00°, 90.00° and 90.00°. The inequivalent atoms are Ba at (0.000, 0.000, 0.000), Ag at (0.250, 0.250, 0.250) and Rh at (0.000, 0.000, 0.500).

The value obtained for the magnetic moment is 0.0 μB per formula unit. The total energy is -0.285 Ry/atom. As for the relative energy among the computed polymorphs: 0.67 eV per formula unit. Its formation energy is 0.350 eV per atom. The density of states at the Fermi level is 2.6 states/eV/f.u.

3.
Entry from Alexandria via LeMat-Bulk: a geometry-optimized BeCr2Si2 structure (GGA-PBEsol).

The structure belongs to space group I4/mmm (No. 139); the cell edges are 3.409, 3.409 and 11.093 Å and the angles 90.00°, 90.00° and 90.00°. The inequivalent atoms are Be at (0.000, 0.000, 0.000), Cr at (0.000, 0.500, 0.250) and Si at (0.000, 0.000, 0.400).

The value obtained for the magnetic moment is 0.0 μB per formula unit. The total energy is -0.503 Ry/atom. The density of states at the Fermi level is 3.1 states/eV/f.u.

4.
Entry from Alexandria via LeMat-Bulk: a geometry-optimized Ca2AlOs structure (GGA-PBEsol).

The structure belongs to space group F-43m (No. 216); the cell edges are 6.784, 6.784 and 6.784 Å and the angles 90.00°, 90.00° and 90.00°. The inequivalent atoms are Ca at (0.000, 0.000, 0.000), Ca at (0.250, 0.250, 0.250), Al at (0.250, 0.250, 0.750) and Os at (0.000, 0.000, 0.500).

The value obtained for the magnetic moment is 0.0 μB per formula unit. The total energy is -0.360 Ry/atom. Its formation energy is 0.240 eV per atom. The density of states at the Fermi level is 5.1 states/eV/f.u.

5.
Entry from Alexandria via LeMat-Bulk: a geometry-optimized KNaP3 structure (GGA-PBEsol).

The structure belongs to space group Pm-3m (No. 221); the cell edges are 4.946, 4.946 and 4.946 Å and the angles 90.00°, 90.00° and 90.00°. The inequivalent atoms are K at (0.000, 0.000, 0.000), Na at (0.500, 0.500, 0.500) and P at (0.000, 0.500, 0.500).

The value obtained for the magnetic moment is 0.0 μB per formula unit. The total energy is -0.223 Ry/atom. Its formation energy is 0.946 eV per atom. The density of states at the Fermi level is 3.4 states/eV/f.u.

6.
Entry from Alexandria via LeMat-Bulk: a geometry-optimized SrAg2P2 structure (GGA-PBEsol).

The structure belongs to space group I4/mmm (No. 139); the cell edges are 4.250, 4.250 and 10.666 Å and the angles 90.00°, 90.00° and 90.00°. The inequivalent atoms are Sr at (0.000, 0.000, 0.000), Ag at (0.000, 0.500, 0.250) and P at (0.000, 0.000, 0.392).

The value obtained for the magnetic moment is 0.0 μB per formula unit. The total energy is -0.329 Ry/atom. Its formation energy is -0.463 eV per atom. The density of states at the Fermi level is 1.8 states/eV/f.u.